Entry 1:
CrP2RuBr | PBE | relaxed

Electronic total energy in Ha/atom: -0.2027
DOS(E_F) in states/eV/cell: 4.52
E_form (uncorrected) in eV/atom: 0.7631

```
data_CrP2RuBr
_chemical_formula_sum 'Cr1 P2 Ru1 Br1'
_cell_length_a 4.291
_cell_length_b 4.291
_cell_length_c 4.925
_cell_angle_alpha 90.00
_cell_angle_beta 90.00
_cell_angle_gamma 90.00
_symmetry_space_group_name_H-M 'P 4/m m m'
_symmetry_Int_Tables_number 123
_symmetry_space_group_name_Hall '-P 4 2'
loop_
_atom_site_label
_atom_site_type_symbol
_atom_site_fract_x
_atom_site_fract_y
_atom_site_fract_z
Cr1 Cr 0.000 0.000 0.000
P1 P 0.000 0.500 0.000
Ru1 Ru 0.000 0.000 0.500
Br1 Br 0.500 0.500 0.500
```

---

Entry 2:
K2AcSmS4 | PBE | relaxed

Electronic total energy in Ha/atom: -0.1951
DOS(E_F) in states/eV/cell: 0.00
E_form (uncorrected) in eV/atom: -1.8680

```
data_K2AcSmS4
_chemical_formula_sum 'K2 Ac1 Sm1 S4'
_cell_length_a 7.437
_cell_length_b 4.289
_cell_length_c 7.807
_cell_angle_alpha 90.00
_cell_angle_beta 108.43
_cell_angle_gamma 90.00
_symmetry_space_group_name_H-M 'P 1 2/m 1'
_symmetry_Int_Tables_number 10
_symmetry_space_group_name_Hall '-P 2y'
loop_
_atom_site_label
_atom_site_type_symbol
_atom_site_fract_x
_atom_site_fract_y
_atom_site_fract_z
K1 K 0.000 0.000 0.000
K2 K 0.500 0.500 0.000
Ac1 Ac 0.000 0.500 0.500
Sm1 Sm 0.500 0.000 0.500
S1 S 0.251 0.000 0.712
S2 S 0.276 0.500 0.294
```

---

Entry 3:
Li3Ac2ZnAu4 | PBE | relaxed

Electronic total energy in Ha/atom: -0.1263
DOS(E_F) in states/eV/cell: 6.50

```
data_Li3Ac2ZnAu4
_chemical_formula_sum 'Li3 Ac2 Zn1 Au4'
_cell_length_a 4.589
_cell_length_b 4.589
_cell_length_c 10.373
_cell_angle_alpha 90.00
_cell_angle_beta 90.00
_cell_angle_gamma 90.00
_symmetry_space_group_name_H-M 'P -4 m 2'
_symmetry_Int_Tables_number 115
_symmetry_space_group_name_Hall 'P -4 -2'
loop_
_atom_site_label
_atom_site_type_symbol
_atom_site_fract_x
_atom_site_fract_y
_atom_site_fract_z
Li1 Li 0.000 0.000 0.000
Li2 Li 0.000 0.500 0.613
Ac1 Ac 0.000 0.500 0.256
Zn1 Zn 0.500 0.500 0.000
Au1 Au 0.000 0.000 0.500
Au2 Au 0.000 0.500 0.862
Au3 Au 0.500 0.500 0.500
```

---

Entry 4:
PrMgCd | PBE | relaxed

Electronic total energy in Ha/atom: -0.0983
DOS(E_F) in states/eV/cell: 2.35

```
data_PrMgCd
_chemical_formula_sum 'Pr1 Mg1 Cd1'
_cell_length_a 5.1688
_cell_length_b 5.1688
_cell_length_c 3.4667
_cell_angle_alpha 90.00
_cell_angle_beta 90.00
_cell_angle_gamma 120.00
_symmetry_space_group_name_H-M 'P -6 m 2'
_symmetry_Int_Tables_number 187
_symmetry_space_group_name_Hall 'P -6 2'
loop_
_atom_site_label
_atom_site_type_symbol
_atom_site_fract_x
_atom_site_fract_y
_atom_site_fract_z
Pr1 Pr 0.0000 0.0000 0.0000
Mg1 Mg 0.3333 0.6667 0.5000
Cd1 Cd 0.6667 0.3333 0.5000
```

---

Entry 5:
Rb2YFeTc | PBE | relaxed

Electronic total energy in Ha/atom: -0.1284
DOS(E_F) in states/eV/cell: 6.07

```
data_Rb2YFeTc
_chemical_formula_sum 'Rb2 Y1 Fe1 Tc1'
_cell_length_a 6.971
_cell_length_b 6.971
_cell_length_c 4.705
_cell_angle_alpha 90.00
_cell_angle_beta 90.00
_cell_angle_gamma 90.00
_symmetry_space_group_name_H-M 'P 4/m m m'
_symmetry_Int_Tables_number 123
_symmetry_space_group_name_Hall '-P 4 2'
loop_
_atom_site_label
_atom_site_type_symbol
_atom_site_fract_x
_atom_site_fract_y
_atom_site_fract_z
Rb1 Rb 0.000 0.500 0.000
Y1 Y 0.000 0.000 0.000
Fe1 Fe 0.000 0.000 0.500
Tc1 Tc 0.500 0.500 0.500
```

---

Entry 6:
TaHgMo | PBE | relaxed

Electronic total energy in Ha/atom: -0.2702
DOS(E_F) in states/eV/cell: 12.21
Excess energy over the best structure of this formula in the dataset in eV per atom: 0.0000

```
data_TaHgMo
_chemical_formula_sum 'Ta4 Hg4 Mo4'
_cell_length_a 3.388
_cell_length_b 4.704
_cell_length_c 13.913
_cell_angle_alpha 90.00
_cell_angle_beta 90.00
_cell_angle_gamma 90.00
_symmetry_space_group_name_H-M 'F m m 2'
_symmetry_Int_Tables_number 42
_symmetry_space_group_name_Hall 'F 2 -2'
loop_
_atom_site_label
_atom_site_type_symbol
_atom_site_fract_x
_atom_site_fract_y
_atom_site_fract_z
Ta1 Ta 0.000 0.000 0.000
Hg1 Hg 0.000 0.000 0.322
Mo1 Mo 0.000 0.000 0.647
```

---

Entry 7:
Pm3Er2Pt2 | PBE | relaxed

Electronic total energy in Ha/atom: -0.2128
DOS(E_F) in states/eV/cell: 8.32

```
data_Pm3Er2Pt2
_chemical_formula_sum 'Pm3 Er2 Pt2'
_cell_length_a 3.812
_cell_length_b 6.504
_cell_length_c 8.783
_cell_angle_alpha 71.27
_cell_angle_beta 77.48
_cell_angle_gamma 72.96
_symmetry_space_group_name_H-M 'P -1'
_symmetry_Int_Tables_number 2
_symmetry_space_group_name_Hall '-P 1'
loop_
_atom_site_label
_atom_site_type_symbol
_atom_site_fract_x
_atom_site_fract_y
_atom_site_fract_z
Pm1 Pm 0.000 0.000 0.000
Pm2 Pm 0.113 0.207 0.566
Er1 Er 0.332 0.520 0.816
Pt1 Pt 0.321 0.125 0.234
```

---

Entry 8:
Ba2TaOs | PBE | relaxed

Electronic total energy in Ha/atom: -0.2327
DOS(E_F) in states/eV/cell: 3.98
Excess energy over the best structure of this formula in the dataset in eV per atom: 0.0934

```
data_Ba2TaOs
_chemical_formula_sum 'Ba2 Ta1 Os1'
_cell_length_a 3.564
_cell_length_b 3.564
_cell_length_c 10.156
_cell_angle_alpha 90.00
_cell_angle_beta 90.00
_cell_angle_gamma 90.00
_symmetry_space_group_name_H-M 'P 4 m m'
_symmetry_Int_Tables_number 99
_symmetry_space_group_name_Hall 'P 4 -2'
loop_
_atom_site_label
_atom_site_type_symbol
_atom_site_fract_x
_atom_site_fract_y
_atom_site_fract_z
Ba1 Ba 0.000 0.000 0.000
Ba2 Ba 0.500 0.500 0.401
Ta1 Ta 0.500 0.500 0.730
Os1 Os 0.000 0.000 0.658
```

---

Look up the DOS(E_F) of the sixth one. 12.21 states/eV/cell

---

Among the records above, which one has the highest DOS(E_F)? TaHgMo

---

Which of these has the lowest electronic total energy? TaHgMo